Entry a
Compound: Pu4OsRu
Source: Alexandria via LeMat-Bulk
Functional: GGA-PBE
Structure: relaxed

## Properties
As for the space-group type: C2/c (15). For the calculated density, the calculation gives 15.29 g/cm³.

Unit cell a=7.6480 b=7.6480 c=6.0240 alpha=107.33 beta=107.33 gamma=112.33
Last column: nearest neighbours and their distance in Å.
Atoms (fractional coordinates):
Pu1 0.0586 0.6869 0.8958  2 Os 2.89-2.95, 2 Ru 2.94-2.96, 1 Pu 3.24
Pu2 0.2390 0.3793 0.7137  2 Ru 2.78-2.88, 2 Os 2.84-2.97, 1 Pu 3.04
Pu3 0.3131 0.9414 0.6042  2 Os 2.89-2.95, 2 Ru 2.94-2.96, 1 Pu 3.24
Pu4 0.3793 0.2390 0.2137  2 Ru 2.78-2.88, 2 Os 2.84-2.97, 1 Pu 3.04
Pu5 0.6207 0.7610 0.7863  2 Ru 2.78-2.88, 2 Os 2.84-2.97, 1 Pu 3.04
Pu6 0.6869 0.0586 0.3958  2 Os 2.89-2.95, 2 Ru 2.94-2.96, 1 Pu 3.24
Pu7 0.7610 0.6207 0.2863  2 Ru 2.78-2.88, 2 Os 2.84-2.97, 1 Pu 3.04
Pu8 0.9414 0.3131 0.1042  2 Os 2.89-2.95, 2 Ru 2.94-2.96, 1 Pu 3.24
Os1 0.3694 0.6306 0.2500  8 Pu 2.84-2.97
Os2 0.6306 0.3694 0.7500  8 Pu 2.84-2.97
Ru1 0.0035 0.9965 0.2500  8 Pu 2.78-2.96, 2 Ru 3.01
Ru2 0.9965 0.0035 0.7500  8 Pu 2.78-2.96, 2 Ru 3.01

***

Entry b
Compound: Pu4OsRu
Source: Alexandria via LeMat-Bulk
Functional: GGA-PBE
Structure: relaxed

## Properties
As for the space-group type: Cm (8). For the calculated density, the calculation gives 19.71 g/cm³.

Unit cell a=5.4147 b=5.4147 c=5.8219 alpha=121.20 beta=121.20 gamma=49.62
Last column: nearest neighbours and their distance in Å.
Atoms (fractional coordinates):
Pu1 0.0000 0.0000 0.0000  4 Pu 2.51-2.80, 1 Os 2.77
Pu2 0.0071 0.0071 0.5751  4 Pu 2.51-2.79
Pu3 0.3348 0.3348 0.7372  4 Pu 2.52-2.79
Pu4 0.3463 0.3463 0.3164  4 Pu 2.52-2.80, 1 Ru 2.75
Os1 0.6983 0.6983 0.9377  6 Pu 2.77-3.06, 2 Ru 2.89-3.00
Ru1 0.6446 0.6446 0.3760  6 Pu 2.75-3.05, 2 Os 2.89-3.00

***

Which structure above is the least stable? It is entry a.